Compound: PmHoAl2
Source: the Alexandria database
Functional: PBE
Structure: optimized geometry Values from VASP.

Computed properties:
**ΔH_f (0 K)**: -0.379 eV per atom
**Energy**: -18.33 eV/f.u.
**Space group**: Fm-3m, No. 225
**V**: 24.2 A^3/atom

```
&SYSTEM
  ibrav = 0, nat = 4, ntyp = 3
/
ATOMIC_SPECIES
Pm 145.00 Pm.upf
Ho 164.93 Ho.upf
Al 26.98 Al.upf
CELL_PARAMETERS angstrom
0.000 3.644 3.644
3.644 0.000 3.644
3.644 3.644 0.000
ATOMIC_POSITIONS crystal
Pm 0.000 0.000 0.000
Ho 0.500 0.500 0.500
Al 0.250 0.250 0.250
Al 0.750 0.750 0.750
```


Compound: PmHo3Al
Source: the Alexandria database
Functional: PBE
Structure: optimized geometry Values from VASP.

Computed properties:
**Distance to the lowest polymorph of the same formula**: 167 meV per atom
**ΔH_f (0 K)**: 0.029 eV per atom
**Energy**: -22.08 eV/f.u.
**Space group**: C2/c, No. 15
**V**: 29.8 A^3/atom

```
&SYSTEM
  ibrav = 0, nat = 20, ntyp = 3
/
ATOMIC_SPECIES
Pm 145.00 Pm.upf
Ho 164.93 Ho.upf
Al 26.98 Al.upf
CELL_PARAMETERS angstrom
6.115 -7.013 0.000
6.115 7.013 0.000
-1.289 0.000 6.953
ATOMIC_POSITIONS crystal
Pm 0.073 0.699 0.836
Pm 0.301 0.927 0.664
Pm 0.699 0.073 0.336
Pm 0.927 0.301 0.164
Ho 0.057 0.175 0.613
Ho 0.175 0.057 0.113
Ho 0.223 0.522 0.471
Ho 0.234 0.425 0.976
Ho 0.425 0.234 0.476
Ho 0.478 0.777 0.029
Ho 0.522 0.223 0.971
Ho 0.575 0.766 0.524
Ho 0.766 0.575 0.024
Ho 0.777 0.478 0.529
Ho 0.825 0.943 0.887
Ho 0.943 0.825 0.387
Al 0.233 0.767 0.250
Al 0.491 0.509 0.750
Al 0.509 0.491 0.250
Al 0.767 0.233 0.750
```


Compound: Pm4Ho5Al
Source: the Alexandria database
Functional: PBE
Structure: optimized geometry Values from VASP.

Computed properties:
**Distance to the lowest polymorph of the same formula**: 0 meV per atom
**ΔH_f (0 K)**: -0.064 eV per atom
**Energy**: -46.27 eV/f.u.
**Space group**: P4/mmm, No. 123
**V**: 30.8 A^3/atom

```
&SYSTEM
  ibrav = 0, nat = 10, ntyp = 3
/
ATOMIC_SPECIES
Pm 145.00 Pm.upf
Ho 164.93 Ho.upf
Al 26.98 Al.upf
CELL_PARAMETERS angstrom
3.573 0.000 0.000
0.000 3.573 0.000
0.000 0.000 24.156
ATOMIC_POSITIONS crystal
Pm 0.000 0.000 0.105
Pm 0.000 0.000 0.317
Pm 0.000 0.000 0.683
Pm 0.000 0.000 0.895
Ho 0.500 0.500 0.000
Ho 0.500 0.500 0.211
Ho 0.500 0.500 0.424
Ho 0.500 0.500 0.576
Ho 0.500 0.500 0.789
Al 0.000 0.000 0.500
```


Compound: Pm4Ho5Al
Source: the Alexandria database
Functional: PBE
Structure: optimized geometry Values from VASP.

Computed properties:
**Distance to the lowest polymorph of the same formula**: 145 meV per atom
**ΔH_f (0 K)**: 0.081 eV per atom
**Energy**: -44.82 eV/f.u.
**Space group**: I4mm, No. 107
**V**: 32.4 A^3/atom

```
&SYSTEM
  ibrav = 0, nat = 10, ntyp = 3
/
ATOMIC_SPECIES
Pm 145.00 Pm.upf
Ho 164.93 Ho.upf
Al 26.98 Al.upf
CELL_PARAMETERS angstrom
-5.334 5.334 2.845
5.334 -5.334 2.845
5.334 5.334 -2.845
ATOMIC_POSITIONS crystal
Pm 0.000 0.311 0.311
Pm 0.000 0.689 0.689
Pm 0.311 0.000 0.311
Pm 0.689 0.000 0.689
Ho 0.200 0.200 0.000
Ho 0.326 0.326 0.636
Ho 0.326 0.690 0.000
Ho 0.690 0.326 0.000
Ho 0.690 0.690 0.364
Al 0.716 0.716 0.000
```


Compound: Pm3HoAl2
Source: the Alexandria database
Functional: PBE
Structure: optimized geometry Values from VASP.

Computed properties:
**Distance to the lowest polymorph of the same formula**: 0 meV per atom
**ΔH_f (0 K)**: -0.266 eV per atom
**Energy**: -27.91 eV/f.u.
**Space group**: Pmc2_1, No. 26
**V**: 27.9 A^3/atom

```
&SYSTEM
  ibrav = 0, nat = 12, ntyp = 3
/
ATOMIC_SPECIES
Pm 145.00 Pm.upf
Ho 164.93 Ho.upf
Al 26.98 Al.upf
CELL_PARAMETERS angstrom
5.193 0.000 0.000
0.000 9.692 0.000
0.000 0.000 6.652
ATOMIC_POSITIONS crystal
Pm 0.000 0.041 0.000
Pm 0.000 0.330 0.334
Pm 0.000 0.670 0.834
Pm 0.000 0.959 0.500
Pm 0.500 0.178 0.716
Pm 0.500 0.822 0.216
Ho 0.500 0.456 0.048
Ho 0.500 0.544 0.548
Al 0.000 0.352 0.820
Al 0.000 0.648 0.320
Al 0.500 0.150 0.232
Al 0.500 0.850 0.732
```


Compound: Pm4Ho2Al
Source: the Alexandria database
Functional: PBE
Structure: optimized geometry Values from VASP.

Computed properties:
**ΔH_f (0 K)**: -0.020 eV per atom
**Energy**: -32.04 eV/f.u.
**Space group**: R-3m, No. 166
**V**: 31.8 A^3/atom

```
&SYSTEM
  ibrav = 0, nat = 7, ntyp = 3
/
ATOMIC_SPECIES
Pm 145.00 Pm.upf
Ho 164.93 Ho.upf
Al 26.98 Al.upf
CELL_PARAMETERS angstrom
1.824 1.053 19.313
-1.824 1.053 19.313
0.000 -2.106 19.313
ATOMIC_POSITIONS crystal
Pm 0.093 0.093 0.093
Pm 0.294 0.294 0.294
Pm 0.706 0.706 0.706
Pm 0.907 0.907 0.907
Ho 0.191 0.191 0.191
Ho 0.809 0.809 0.809
Al 0.000 0.000 0.000
```


Compound: Pm2Ho3Al3
Source: the Alexandria database
Functional: PBE
Structure: optimized geometry Values from VASP.

Computed properties:
**Distance to the lowest polymorph of the same formula**: 15 meV per atom
**ΔH_f (0 K)**: -0.261 eV per atom
**Energy**: -36.55 eV/f.u.
**Space group**: Pmmm, No. 47
**V**: 25.8 A^3/atom

```
&SYSTEM
  ibrav = 0, nat = 8, ntyp = 3
/
ATOMIC_SPECIES
Pm 145.00 Pm.upf
Ho 164.93 Ho.upf
Al 26.98 Al.upf
CELL_PARAMETERS angstrom
4.812 0.000 0.000
0.000 4.825 0.000
0.000 0.000 8.902
ATOMIC_POSITIONS crystal
Pm 0.000 0.000 0.234
Pm 0.000 0.000 0.766
Ho 0.500 0.000 0.500
Ho 0.500 0.500 0.222
Ho 0.500 0.500 0.778
Al 0.000 0.500 0.000
Al 0.000 0.500 0.500
Al 0.500 0.000 0.000
```


Compound: PmPrHoAl
Source: the Alexandria database
Functional: PBE
Structure: optimized geometry Values from VASP.

Computed properties:
**Distance to the lowest polymorph of the same formula**: 0 meV per atom
**ΔH_f (0 K)**: -0.178 eV per atom
**Energy**: -18.56 eV/f.u.
**Space group**: P4mm, No. 99
**V**: 29.4 A^3/atom

```
&SYSTEM
  ibrav = 0, nat = 4, ntyp = 4
/
ATOMIC_SPECIES
Pm 145.00 Pm.upf
Pr 140.91 Pr.upf
Ho 164.93 Ho.upf
Al 26.98 Al.upf
CELL_PARAMETERS angstrom
3.563 0.000 0.000
0.000 3.563 0.000
0.000 0.000 9.269
ATOMIC_POSITIONS crystal
Pm 0.000 0.000 0.000
Pr 0.500 0.500 0.300
Ho 0.000 0.000 0.583
Al 0.500 0.500 0.784
```